1.
The following is a GGA-PBE calculation of a relaxed structure of NpTlGaS4, from Alexandria.

```
data_NpTlGaS4
_chemical_formula_sum 'Np2 Tl2 Ga2 S8'
_cell_length_a 6.475
_cell_length_b 6.524
_cell_length_c 8.840
_cell_angle_alpha 90.00
_cell_angle_beta 107.86
_cell_angle_gamma 90.00
_symmetry_space_group_name_H-M 'P 1 21/m 1'
_symmetry_Int_Tables_number 11
loop_
_symmetry_equiv_pos_as_xyz
'x,y,z'
'-x,-y,-z'
'-x,y+1/2,-z'
'x,-y+1/2,z'
loop_
_atom_site_label
_atom_site_fract_x
_atom_site_fract_y
_atom_site_fract_z
Np1 0.228 0.250 0.053
Tl1 0.263 0.250 0.563
Ga1 0.230 0.750 0.828
S1 0.014 0.512 0.202
S2 0.441 0.750 0.669
S3 0.453 0.750 0.085
```

***

2.
# RbScAsBr2 (GGA-PBE, optimized geometry)
# Energy above the most stable polymorph in this dataset   0 meV per atom
data_RbScAsBr2
_chemical_formula_sum 'Rb1 Sc1 As1 Br2'
_cell_length_a 5.494
_cell_length_b 5.494
_cell_length_c 5.296
_cell_angle_alpha 90.00
_cell_angle_beta 90.00
_cell_angle_gamma 90.00
_symmetry_space_group_name_H-M 'P 4/m m m'
_symmetry_Int_Tables_number 123
_symmetry_space_group_name_Hall '-P 4 2'
loop_
_atom_site_label
_atom_site_fract_x
_atom_site_fract_y
_atom_site_fract_z
Rb1 0.000 0.000 0.000
Sc1 0.500 0.500 0.500
As1 0.500 0.500 0.000
Br1 0.000 0.500 0.500

***

3.
The following is a GGA-PBE calculation of a relaxed structure of Ce5PmSb6, from Alexandria.

```
data_Ce5PmSb6
_chemical_formula_sum 'Ce10 Pm2 Sb12'
_cell_length_a 7.796
_cell_length_b 13.502
_cell_length_c 7.788
_cell_angle_alpha 90.00
_cell_angle_beta 109.49
_cell_angle_gamma 90.00
_symmetry_space_group_name_H-M 'C 1 2/m 1'
_symmetry_Int_Tables_number 12
loop_
_symmetry_equiv_pos_as_xyz
'x,y,z'
'-x,-y,-z'
'-x,y,-z'
'x,-y,z'
'x+1/2,y+1/2,z'
'-x+1/2,-y+1/2,-z'
'-x+1/2,y+1/2,-z'
'x+1/2,-y+1/2,z'
loop_
_atom_site_label
_atom_site_fract_x
_atom_site_fract_y
_atom_site_fract_z
Ce1 0.000 0.000 0.000
Ce2 0.000 0.167 0.500
Ce3 0.000 0.333 0.000
Pm1 0.000 0.500 0.500
Sb1 0.250 0.000 0.751
Sb2 0.250 0.167 0.250
```

***

4.
# BeFeS3 (GGA-PBE, optimized geometry)
# Energy above the most stable polymorph in this dataset   0 meV per atom
data_BeFeS3
_chemical_formula_sum 'Be1 Fe1 S3'
_cell_length_a 4.439
_cell_length_b 4.439
_cell_length_c 4.439
_cell_angle_alpha 90.00
_cell_angle_beta 90.00
_cell_angle_gamma 90.00
_symmetry_space_group_name_H-M 'P m -3 m'
_symmetry_Int_Tables_number 221
_symmetry_space_group_name_Hall '-P 4 2 3'
loop_
_atom_site_label
_atom_site_fract_x
_atom_site_fract_y
_atom_site_fract_z
Be1 0.000 0.000 0.000
Fe1 0.500 0.500 0.500
S1 0.000 0.500 0.500

***

no.,uncorrected formation energy (kJ per mole of atoms),final energy (eV for the cell shown),D(E_F) (states/eV per atom)
1,-80.0,-81.29,1.1705
2,-107.0,-20.84,0.7157
3,-102.9,-143.90,2.7799
4,65.9,-21.15,0.7476